# 1
DFT (PBE) results for ZrGa3Pt3 after structural relaxation.

Lattice parameters (Å, degrees): 6.7707 6.7707 6.7707 90.00 90.00 90.00
Sites, in units of the cell vectors:
Pt  0.7500  0.0000  0.5000
Pt  0.0000  0.5000  0.7500
Pt  0.0000  0.5000  0.2500
Pt  0.5000  0.2500  0.0000
Pt  0.5000  0.7500  0.0000
Pt  0.2500  0.0000  0.5000
Ga  0.5000  0.0000  0.2500
Ga  0.0000  0.7500  0.5000
Ga  0.2500  0.5000  0.0000
Ga  0.0000  0.2500  0.5000
Ga  0.7500  0.5000  0.0000
Ga  0.5000  0.0000  0.7500
Zr  0.5000  0.5000  0.5000
Zr  0.0000  0.0000  0.0000

Values from the calculation:
Its formation energy from the elements is 0.015 eV/atom. The value obtained for the mass density is 9.5 g/cm3. Its total moment is 1.15 μB per formula unit. The uncorrected energy is -5.092 eV/atom.

# 2
DFT (PBE) results for PrIn2Sn3 after structural relaxation.

Lattice parameters (Å, degrees): 4.3671 5.0052 7.9170 108.43 90.00 90.00
Sites, in units of the cell vectors:
Sn  0.5000  0.1757  0.3513
Sn  0.5000  0.8243  0.6487
Sn  0.5000  0.5000  0.0000
Pr  0.0000  0.0000  0.0000
In  0.0000  0.6627  0.3253
In  0.0000  0.3373  0.6747

Values from the calculation:
Its formation energy from the elements is -0.270 eV/atom. The value obtained for the mass density is 7.3 g/cm3. Its total moment is 0.00 μB per formula unit. The uncorrected energy is -3.981 eV/atom.

# 3
DFT (PBE) results for Ac8HRh4 after structural relaxation.

Lattice parameters (Å, degrees): 8.5522 8.5522 8.5522 60.00 60.00 60.00
Sites, in units of the cell vectors:
Ac  0.6080  0.1307  0.1307
Ac  0.1297  0.6234  0.6234
Ac  0.6234  0.1297  0.6234
Ac  0.1307  0.1307  0.1307
Ac  0.1307  0.1307  0.6080
Ac  0.6234  0.6234  0.6234
Ac  0.1307  0.6080  0.1307
Ac  0.6234  0.6234  0.1297
Rh  0.3759  0.8724  0.3759
Rh  0.3759  0.3759  0.8724
Rh  0.8724  0.3759  0.3759
Rh  0.3759  0.3759  0.3759
H  0.7500  0.7500  0.7500

Values from the calculation:
The value obtained for the mass density is 8.4 g/cm3. Its total moment is 0.00 μB per formula unit. The uncorrected energy is -5.614 eV/atom.

# 4
DFT (PBE) results for PuUPa2 after structural relaxation.

Lattice parameters (Å, degrees): 4.6996 4.4293 4.9263 116.72 90.00 90.00
Sites, in units of the cell vectors:
Pa  0.0000  0.0855  0.1710
Pa  0.5000  0.4179  0.8358
U  0.5000  0.7261  0.4522
Pu  0.0000  0.7658  0.5317

Values from the calculation:
Its formation energy from the elements is 0.245 eV/atom. The value obtained for the mass density is 17.1 g/cm3. Its total moment is 0.00 μB per formula unit. The uncorrected energy is -10.908 eV/atom.

# 5
DFT (PBE) results for Cs2H2I after structural relaxation.

Lattice parameters (Å, degrees): 4.6947 4.6947 9.1500 75.13 75.13 90.00
Sites, in units of the cell vectors:
I  0.0000  0.0000  0.0000
H  0.7500  0.2500  0.5000
H  0.2500  0.7500  0.5000
Cs  0.3690  0.3690  0.2619
Cs  0.6310  0.6310  0.7381

Values from the calculation:
The value obtained for the mass density is 3.5 g/cm3. Its total moment is 1.00 μB per formula unit. The uncorrected energy is -2.245 eV/atom.

# 6
DFT (PBE) results for AsIrSe2 after structural relaxation.

Lattice parameters (Å, degrees): 7.7341 7.7341 7.7341 26.63 26.63 26.63
Sites, in units of the cell vectors:
Se  0.4813  0.4813  0.4813
Se  0.0187  0.0187  0.0187
Ir  0.7500  0.7500  0.7500
As  0.2500  0.2500  0.2500

Values from the calculation:
As for the formation energy from raw total energies: 0.71 eV per formula unit. The value obtained for the mass density is 8.6 g/cm3. Its total moment is 0.00 μB per formula unit. The uncorrected energy is -4.941 eV/atom.